(1)
Computed, not measured: an optimized crystal structure of Ca4ReMo at the GGA-PBE level of DFT.

Structure (extended XYZ):
```
6
Lattice="1.349 -5.821 -1.250 2.235 -3.622 4.375 -3.438 -4.491 2.297" Properties=species:S:1:pos:R:3 pbc="T T T"
Ca 1.179 -7.037 4.230
Ca 0.733 -8.143 1.400
Ca -1.675 -7.474 3.184
Ca 0.055 -5.215 2.029
Re 0.000 0.000 0.000
Mo 0.110 -10.451 4.066
```

Computed properties:
V = 26.8 Å³ per atom
M_tot = 1.2 μB/f.u.
formation energy = 1548 meV per atom
N(E_F) = 7.4 states/eV per cell

=====

(2)
Computed, not measured: an optimized crystal structure of CaReMo2 at the GGA-PBE level of DFT.

Structure (extended XYZ):
```
4
Lattice="4.711 0.000 0.000 0.000 4.711 0.000 0.000 0.000 3.090" Properties=species:S:1:pos:R:3 pbc="T T T"
Mo 2.355 2.355 0.000
Mo 0.000 0.000 0.000
Re 2.355 0.000 1.545
Ca 0.000 2.355 1.545
```

Computed properties:
V = 17.1 Å³ per atom
M_tot = 0.0 μB/f.u.
formation energy = 767 meV per atom
offset from the most stable computed form = 294 meV/atom
N(E_F) = 4.3 states/eV per cell

=====

(3)
Computed, not measured: an optimized crystal structure of CaReMo2 at the GGA-PBE level of DFT.

Structure (extended XYZ):
```
4
Lattice="-2.729 0.249 1.573 1.406 -1.088 2.612 1.800 7.114 1.994" Properties=species:S:1:pos:R:3 pbc="T T T"
Ca 0.688 4.917 3.588
Mo 0.102 0.402 0.113
Mo 0.798 3.155 0.884
Re -0.212 1.359 2.591
```

Computed properties:
V = 19.0 Å³ per atom
M_tot = 0.0 μB/f.u.
formation energy = 531 meV per atom
offset from the most stable computed form = 58 meV/atom
N(E_F) = 5.1 states/eV per cell

=====

Q: Which of these has the highest formation energy?
A: Ca4ReMo